Below is crystalline CaPmTlBr6 at its relaxed geometry, with properties calculated at the PBE level.

Values from the calculation:
The total DFT energy (no corrections) comes out at -3.8501 eV/atom. The calculation puts the density of states at the Fermi level at 0.000 states/eV per atom. The formation energy (no corrections) is -1.72 eV/atom.

abc: 7.5482 7.5482 14.3509
angles: 90.00 90.00 120.00
Space group P-31c (No. 163)
Unique sites:
Ca1 0.3333 0.6667 0.2500 (multiplicity 2)
Pm1 0.3333 0.6667 0.7500 (multiplicity 2)
Tl1 0.0000 0.0000 0.0000 (multiplicity 2)
Br1 0.0027 0.3708 0.6351 (multiplicity 12)